The following is a DFT calculation (PBE) of Al2Au3 after structural relaxation.

## Properties
ΔH_f (0 K)   -0.304 eV per atom
DOS at the Fermi energy   1.302 states/eV/f.u.
Symmetry   Fdd2 (43)
Total magnetic moment   0.0 μB per formula unit

Cell: 8.756 7.045 6.206 Å, 82.45 52.91 44.64°
Element x y z (fractional)
Al (0.219, 0.892, 0.398)
Au (0.958, 0.786, 0.514)
Au (0.742, 0.514, 0.786)
Au (0.090, 0.910, 0.910)
Au (0.736, 0.508, 0.292)
Al (0.358, 0.031, 0.758)
Al (0.492, 0.398, 0.892)
Al (0.852, 0.758, 0.031)
Au (0.464, 0.292, 0.508)
Au (0.340, 0.160, 0.160)

The following is a DFT calculation (PBE) of Ac7GaPt5 after structural relaxation.

## Properties
ΔH_f (0 K)   -0.988 eV per atom
DOS at the Fermi energy   8.658 states/eV/f.u.
Symmetry   P2_1/m (11)
Total magnetic moment   0.0 μB per formula unit

Cell: 4.383 7.644 26.277 Å, 89.99 90.00 106.68°
Element x y z (fractional)
Ac (0.635, 0.271, 0.464)
Pt (0.274, 0.548, 0.429)
Ac (0.365, 0.730, 0.964)
Pt (0.000, 0.000, 0.500)
Ac (0.180, 0.361, 0.172)
Pt (0.727, 0.453, 0.929)
Ac (0.821, 0.641, 0.828)
Ga (0.791, 0.581, 0.250)
Ac (0.636, 0.271, 0.036)
Ac (0.455, 0.911, 0.250)
Pt (0.274, 0.548, 0.071)
Ac (0.180, 0.361, 0.328)
Pt (0.543, 0.085, 0.145)
Pt (0.458, 0.916, 0.645)
Ga (0.209, 0.420, 0.750)
Ac (0.091, 0.181, 0.606)
Ac (0.910, 0.820, 0.106)
Ac (0.091, 0.181, 0.894)
Ac (0.910, 0.820, 0.394)
Pt (0.000, 0.001, 0.000)
Pt (0.727, 0.453, 0.571)
Ac (0.546, 0.090, 0.750)
Ac (0.820, 0.640, 0.672)
Ac (0.365, 0.730, 0.536)
Pt (0.458, 0.916, 0.855)
Pt (0.543, 0.085, 0.355)

The following is a DFT calculation (PBE) of BaCaCr3 after structural relaxation.

## Properties
ΔH_f (0 K)   1.491 eV per atom
DOS at the Fermi energy   2.615 states/eV/f.u.
Symmetry   Pm-3m (221)
Total magnetic moment   14.9 μB per formula unit

Cell: 5.692 5.692 5.692 Å, 90.00 90.00 90.00°
Last column: magnetic moment on the atom in μB.
Element x y z (fractional)
Cr (0.000, 0.500, 0.000)  4.15
Ca (0.000, 0.000, 0.000)  0.20
Cr (0.000, 0.000, 0.500)  4.04
Cr (0.500, 0.000, 0.000)  4.14
Ba (0.500, 0.500, 0.500)  0.02

The following is a DFT calculation (PBE) of Er5ScIn3 after structural relaxation.

## Properties
ΔH_f (0 K)   -0.344 eV per atom
DOS at the Fermi energy   9.283 states/eV/f.u.
Symmetry   P6_3/mcm (193)
Total magnetic moment   0.6 μB per formula unit

Cell: 6.595 9.195 9.195 Å, 120.00 90.00 90.00°
Last column: magnetic moment on the atom in μB.
Element x y z (fractional)
Er (0.000, 0.667, 0.333)  0.03
Er (0.250, 0.674, 0.000)  0.06
Er (0.250, 0.000, 0.674)  0.06
Er (0.750, 0.674, 0.674)  0.06
Sc (0.500, 0.000, 0.000)  0.24
Er (0.000, 0.333, 0.667)  0.03
In (0.750, 0.337, 0.337)  -0.01
Er (0.750, 0.000, 0.326)  0.06
Er (0.250, 0.326, 0.326)  0.06
Er (0.500, 0.333, 0.667)  0.03
Er (0.750, 0.326, 0.000)  0.06
Sc (0.000, 0.000, 0.000)  0.24
In (0.750, 0.663, 0.000)  -0.01
Er (0.500, 0.667, 0.333)  0.03
In (0.250, 0.337, 0.000)  -0.01
In (0.250, 0.663, 0.663)  -0.01
In (0.250, 0.000, 0.337)  -0.01
In (0.750, 0.000, 0.663)  -0.01

The following is a DFT calculation (PBE) of Y2AlCdSe after structural relaxation.

## Properties
DOS at the Fermi energy   4.246 states/eV/f.u.
Symmetry   P4/mmm (123)
Formation energy from raw total energies   -0.26 eV/atom
Total magnetic moment   0.0 μB per formula unit

Cell: 5.375 4.850 5.375 Å, 90.00 90.00 90.00°
Element x y z (fractional)
Al (0.000, 0.500, 0.000)
Cd (0.500, 0.500, 0.500)
Y (0.500, 0.000, 0.000)
Y (0.000, 0.000, 0.500)
Se (0.000, 0.000, 0.000)

The following is a DFT calculation (PBE) of K2NdSnS4 after structural relaxation.

## Properties
DOS at the Fermi energy   3.274 states/eV/f.u.
Symmetry   P2/m (10)
Formation energy from raw total energies   -1.27 eV/atom
Total magnetic moment   0.0 μB per formula unit

Cell: 4.113 7.757 7.176 Å, 72.29 90.00 90.00°
Element x y z (fractional)
K (0.500, 0.000, 0.500)
Nd (0.000, 0.500, 0.500)
S (0.500, 0.294, 0.743)
S (0.000, 0.703, 0.772)
K (0.000, 0.000, 0.000)
Sn (0.500, 0.500, 0.000)
S (0.000, 0.297, 0.228)
S (0.500, 0.706, 0.257)

The following is a DFT calculation (PBE) of CuIrBr2 after structural relaxation.

## Properties
DOS at the Fermi energy   4.403 states/eV/f.u.
Symmetry   Cm (8)
Formation energy from raw total energies   0.28 eV/atom
Total magnetic moment   0.0 μB per formula unit

Cell: 4.240 4.240 7.530 Å, 95.65 95.65 49.96°
Element x y z (fractional)
Ir (0.179, 0.179, 0.436)
Br (0.092, 0.092, 0.106)
Cu (0.466, 0.466, 0.309)
Br (0.763, 0.763, 0.649)

The following is a DFT calculation (PBE) of CdP2 after structural relaxation.

## Properties
ΔH_f (0 K)   0.413 eV per atom
DOS at the Fermi energy   1.088 states/eV/f.u.
Symmetry   P6_3/mmc (194)
Total magnetic moment   0.0 μB per formula unit

Cell: 5.215 5.215 10.726 Å, 90.00 90.00 120.00°
Element x y z (fractional)
P (0.278, 0.139, 0.250)
Cd (0.333, 0.667, 0.965)
P (0.722, 0.861, 0.750)
P (0.139, 0.861, 0.750)
Cd (0.333, 0.667, 0.535)
Cd (0.667, 0.333, 0.465)
Cd (0.667, 0.333, 0.035)
P (0.000, 0.000, 0.000)
P (0.000, 0.000, 0.500)
P (0.861, 0.139, 0.250)
P (0.139, 0.278, 0.750)
P (0.861, 0.722, 0.250)

The following is a DFT calculation (PBE) of YMoP2 after structural relaxation.

## Properties
ΔH_f (0 K)   -0.571 eV per atom
DOS at the Fermi energy   4.215 states/eV/f.u.
Symmetry   Cm (8)
Total magnetic moment   0.0 μB per formula unit

Cell: 4.817 4.817 4.833 Å, 88.51 88.51 40.75°
Element x y z (fractional)
P (0.212, 0.212, 0.283)
Mo (0.755, 0.755, 0.921)
P (0.043, 0.043, 0.887)
Y (0.490, 0.490, 0.409)

The following is a DFT calculation (PBE) of AsP2RhO after structural relaxation.

## Properties
DOS at the Fermi energy   2.373 states/eV/f.u.
Symmetry   P4/mmm (123)
Formation energy from raw total energies   0.51 eV/atom
Total magnetic moment   0.0 μB per formula unit

Cell: 4.721 4.721 3.502 Å, 90.00 90.00 90.00°
Element x y z (fractional)
As (0.000, 0.000, 0.000)
P (0.000, 0.500, 0.000)
P (0.500, 0.000, 0.000)
O (0.000, 0.000, 0.500)
Rh (0.500, 0.500, 0.500)

The following is a DFT calculation (PBE) of MnZn2Ru after structural relaxation.

## Properties
ΔH_f (0 K)   0.104 eV per atom
DOS at the Fermi energy   2.176 states/eV/f.u.
Symmetry   R-3m (166)
Total magnetic moment   2.9 μB per formula unit

Cell: 8.793 8.793 8.793 Å, 17.81 17.81 17.81°
Last column: magnetic moment on the atom in μB.
Element x y z (fractional)
Zn (0.500, 0.500, 0.500)  -0.02
Mn (0.250, 0.250, 0.250)  2.85
Ru (0.750, 0.750, 0.750)  -0.01
Zn (0.000, 0.000, 0.000)  -0.02

The following is a DFT calculation (PBE) of KI after structural relaxation.

## Properties
DOS at the Fermi energy   0.000 states/eV/f.u.
Symmetry   I-43m (217)
Formation energy from raw total energies   -1.37 eV/atom
Total magnetic moment   0.0 μB per formula unit

Cell: 10.868 10.868 10.868 Å, 90.00 90.00 90.00°
Element x y z (fractional)
I (0.837, 0.837, 0.837)
I (0.337, 0.663, 0.663)
K (0.344, 0.656, 0.344)
I (0.837, 0.163, 0.163)
K (0.656, 0.344, 0.344)
K (0.156, 0.156, 0.156)
K (0.156, 0.844, 0.844)
I (0.663, 0.663, 0.337)
I (0.663, 0.337, 0.663)
I (0.163, 0.163, 0.837)
K (0.656, 0.656, 0.656)
I (0.163, 0.837, 0.163)
K (0.844, 0.844, 0.156)
I (0.337, 0.337, 0.337)
K (0.844, 0.156, 0.844)
K (0.344, 0.344, 0.656)

The following is a DFT calculation (PBE) of HoTmRu2 after structural relaxation.

## Properties
ΔH_f (0 K)   -0.389 eV per atom
DOS at the Fermi energy   5.051 states/eV/f.u.
Symmetry   P4/mmm (123)
Total magnetic moment   0.0 μB per formula unit

Cell: 3.369 3.369 6.741 Å, 90.00 90.00 90.00°
Element x y z (fractional)
Ru (0.000, 0.000, 0.248)
Ru (0.000, 0.000, 0.752)
Ho (0.500, 0.500, 0.500)
Tm (0.500, 0.500, 0.000)

The following is a DFT calculation (PBE) of CdTcSN2 after structural relaxation.

## Properties
DOS at the Fermi energy   3.935 states/eV/f.u.
Symmetry   P4/mmm (123)
Formation energy from raw total energies   0.39 eV/atom
Total magnetic moment   0.2 μB per formula unit

Cell: 3.836 3.836 5.278 Å, 90.00 90.00 90.00°
Last column: magnetic moment on the atom in μB.
Element x y z (fractional)
Tc (0.000, 0.000, 0.000)  -0.05
S (0.000, 0.000, 0.500)  0.00
N (0.000, 0.500, 0.000)  0.09
N (0.500, 0.000, 0.000)  0.09
Cd (0.500, 0.500, 0.500)  0.00

The following is a DFT calculation (PBE) of VNi2Cl after structural relaxation.

## Properties
DOS at the Fermi energy   5.189 states/eV/f.u.
Symmetry   Fm-3m (225)
Formation energy from raw total energies   0.66 eV/atom
Total magnetic moment   1.8 μB per formula unit

Cell: 4.247 4.247 4.247 Å, 60.00 60.00 60.00°
Last column: magnetic moment on the atom in μB.
Element x y z (fractional)
Ni (0.250, 0.250, 0.250)  -0.03
Cl (0.000, 0.000, 0.000)  0.03
V (0.500, 0.500, 0.500)  1.60
Ni (0.750, 0.750, 0.750)  -0.03

The following is a DFT calculation (PBE) of CuOsRh2 after structural relaxation.

## Properties
ΔH_f (0 K)   0.135 eV per atom
DOS at the Fermi energy   6.012 states/eV/f.u.
Symmetry   R3m (160)
Total magnetic moment   0.7 μB per formula unit

Cell: 8.858 8.858 8.858 Å, 17.62 17.62 17.62°
Last column: magnetic moment on the atom in μB.
Element x y z (fractional)
Rh (0.248, 0.248, 0.248)  0.53
Os (0.750, 0.750, 0.750)  0.03
Rh (0.002, 0.002, 0.002)  0.12
Cu (0.500, 0.500, 0.500)  0.02

The following is a DFT calculation (PBE) of Ho2Th2SiIr4 after structural relaxation.

## Properties
DOS at the Fermi energy   6.726 states/eV/f.u.
Symmetry   I4/mmm (139)
Formation energy from raw total energies   -0.41 eV/atom
Total magnetic moment   0.0 μB per formula unit

Cell: 6.532 6.532 6.532 Å, 88.31 120.98 120.98°
Element x y z (fractional)
Th (0.000, 0.308, 0.308)
Th (0.000, 0.692, 0.692)
Si (0.000, 0.000, 0.000)
Ho (0.500, 0.750, 0.250)
Ho (0.500, 0.250, 0.750)
Ir (0.000, 0.258, 0.742)
Ir (0.000, 0.742, 0.258)
Ir (0.484, 0.742, 0.742)
Ir (0.516, 0.258, 0.258)

The following is a DFT calculation (PBE) of SrTe2Br after structural relaxation.

## Properties
DOS at the Fermi energy   0.414 states/eV/f.u.
Symmetry   Imm2 (44)
Formation energy from raw total energies   -0.96 eV/atom
Total magnetic moment   0.0 μB per formula unit

Cell: 6.976 6.976 6.976 Å, 138.49 124.90 71.28°
Element x y z (fractional)
Te (0.763, 0.263, 0.500)
Sr (0.348, 0.848, 0.500)
Br (0.496, 0.496, 0.000)
Te (0.894, 0.894, 0.000)

The following is a DFT calculation (PBE) of ThMg2ZnNi2 after structural relaxation.

## Properties
ΔH_f (0 K)   0.002 eV per atom
DOS at the Fermi energy   3.957 states/eV/f.u.
Symmetry   I4/mmm (139)
Total magnetic moment   0.0 μB per formula unit

Cell: 5.004 5.004 6.034 Å, 114.50 114.50 90.00°
Element x y z (fractional)
Mg (0.250, 0.750, 0.500)
Mg (0.750, 0.250, 0.500)
Zn (0.000, 0.000, 0.000)
Ni (0.759, 0.759, 0.517)
Th (0.500, 0.500, 0.000)
Ni (0.241, 0.241, 0.483)

The following is a DFT calculation (PBE) of TmTl2Cd after structural relaxation.

## Properties
ΔH_f (0 K)   -0.062 eV per atom
DOS at the Fermi energy   2.505 states/eV/f.u.
Symmetry   P4/mmm (123)
Total magnetic moment   0.3 μB per formula unit

Cell: 3.681 3.681 7.744 Å, 90.00 90.00 90.00°
Last column: magnetic moment on the atom in μB.
Element x y z (fractional)
Tm (0.500, 0.500, 0.000)  0.19
Tl (0.000, 0.000, 0.744)  0.01
Tl (0.000, 0.000, 0.256)  0.01
Cd (0.500, 0.500, 0.500)  0.01